Density functional theory data (GGA-PBE) for a relaxed structure of Ce5Zn2.

Geometry as extended XYZ:
```
7
Lattice="4.356 0.000 0.000 -2.178 5.135 -0.803 0.000 -0.194 7.389" Properties=species:S:1:pos:R:3 pbc="T T T"
Ce 0.000 3.571 -0.083
Ce 2.178 1.371 6.669
Ce 0.000 2.044 4.512
Ce 2.178 -0.097 3.695
Ce 2.178 2.898 2.074
Zn 0.000 0.664 1.439
Zn 2.178 4.278 5.148
```

Properties
The value obtained for the density of states at the Fermi level is 18.99 states/eV per cell. The space-group type is C2/m. The calculation puts the calculated formation energy at -42 kJ/mol of formula units. As for the total energy: -4.6652 eV per atom. Its size of the total moment is 0.304 μB per atom.

Density functional theory data (GGA-PBE) for a relaxed structure of CeZn2.

Geometry as extended XYZ:
```
3
Lattice="-2.086 0.384 2.254 -1.827 -2.115 -1.331 4.640 -3.483 2.764" Properties=species:S:1:pos:R:3 pbc="T T T"
Zn -0.943 -2.507 1.680
Zn 1.670 -2.705 2.007
Ce 0.000 0.000 0.000
```

Properties
The value obtained for the density of states at the Fermi level is 2.99 states/eV per cell. The space-group type is I4/mmm. The calculation puts the calculated formation energy at -52 kJ/mol of formula units. As for the total energy: -3.0061 eV per atom. Its size of the total moment is 0.095 μB per atom.

Density functional theory data (GGA-PBE) for a relaxed structure of Ce6Zn.

Geometry as extended XYZ:
```
7
Lattice="-3.181 -5.291 2.266 3.886 -1.756 -5.007 3.660 2.586 4.813" Properties=species:S:1:pos:R:3 pbc="T T T"
Ce 3.949 -1.347 -0.782
Ce 2.239 -3.316 -1.419
Ce 3.893 -0.261 1.673
Ce 0.416 -3.114 2.855
Ce 2.126 -1.145 3.491
Ce 0.472 -4.200 0.400
Zn 0.000 0.000 0.000
```

Properties
The value obtained for the density of states at the Fermi level is 21.64 states/eV per cell. The space-group type is Im-3m. The calculation puts the calculated formation energy at 617 kJ/mol of formula units. As for the total energy: -4.3542 eV per atom. Its size of the total moment is 0.000 μB per atom.

Density functional theory data (GGA-PBE) for a relaxed structure of Ce3Zn4.

Geometry as extended XYZ:
```
7
Lattice="6.168 0.000 0.000 -3.084 5.341 0.000 0.000 0.000 5.108" Properties=species:S:1:pos:R:3 pbc="T T T"
Ce -1.542 2.671 0.000
Ce 3.084 0.000 0.000
Ce 1.542 2.671 0.000
Zn 0.000 0.000 3.809
Zn 0.000 0.000 1.298
Zn 0.000 3.561 2.554
Zn 3.084 1.780 2.554
```

Properties
The value obtained for the density of states at the Fermi level is 15.01 states/eV per cell. The space-group type is P6/mmm. The calculation puts the calculated formation energy at 104 kJ/mol of formula units. As for the total energy: -3.1173 eV per atom. Its size of the total moment is 0.439 μB per atom.

Density functional theory data (GGA-PBE) for a relaxed structure of Ce3Zn.

Geometry as extended XYZ:
```
4
Lattice="4.632 0.000 0.000 0.000 4.632 0.000 0.000 0.000 4.632" Properties=species:S:1:pos:R:3 pbc="T T T"
Zn 0.000 0.000 0.000
Ce 0.000 2.316 2.316
Ce 2.316 0.000 2.316
Ce 2.316 2.316 0.000
```

Properties
The value obtained for the density of states at the Fermi level is 12.24 states/eV per cell. The space-group type is Pm-3m. The calculation puts the calculated formation energy at -7 kJ/mol of formula units. As for the total energy: -4.7867 eV per atom. Its size of the total moment is 0.504 μB per atom.

Density functional theory data (GGA-PBE) for a relaxed structure of CeZn12.

Geometry as extended XYZ:
```
13
Lattice="-3.068 -0.618 -4.236 -3.440 -5.896 0.077 -6.285 2.503 0.913" Properties=species:S:1:pos:R:3 pbc="T T T"
Ce 0.000 0.000 0.000
Zn -4.677 0.942 -1.662
Zn -3.143 1.251 0.456
Zn -3.254 -3.257 -2.080
Zn -1.720 -2.948 0.039
Zn -4.448 -2.921 0.373
Zn -5.277 -0.472 0.617
Zn -5.426 -1.601 -2.385
Zn -7.367 -2.410 -0.861
Zn -7.196 0.354 -1.389
Zn -5.598 -4.365 -1.858
Zn -9.801 -3.094 -2.273
Zn -2.992 -0.917 -0.973
```

Properties
The value obtained for the density of states at the Fermi level is 8.32 states/eV per cell. The space-group type is I4/mmm. The calculation puts the calculated formation energy at -205 kJ/mol of formula units. As for the total energy: -1.7957 eV per atom. Its size of the total moment is 0.063 μB per atom.

Density functional theory data (GGA-PBE) for a relaxed structure of CeZr2Zn.

Geometry as extended XYZ:
```
4
Lattice="-1.143 1.562 2.532 -2.967 -0.401 -1.093 -0.596 -7.538 4.381" Properties=species:S:1:pos:R:3 pbc="T T T"
Zn -2.055 0.581 0.720
Zr -0.469 -5.938 3.451
Zr -0.126 -1.600 0.930
Ce -2.353 -3.188 2.910
```

Properties
The energy above the most stable polymorph in this dataset comes out at 0 meV per atom. The value obtained for the density of states at the Fermi level is 6.68 states/eV per cell. The space-group type is P4/mmm. The calculation puts the calculated formation energy at -25 kJ/mol of formula units. As for the total energy: -6.1412 eV per atom. Its size of the total moment is 0.059 μB per atom.

Density functional theory data (GGA-PBE) for a relaxed structure of CeZr4Zn5.

Geometry as extended XYZ:
```
10
Lattice="-0.089 0.168 3.147 -1.638 -2.693 0.098 16.622 -10.072 1.008" Properties=species:S:1:pos:R:3 pbc="T T T"
Ce 0.000 0.000 0.000
Zr 3.516 -2.131 0.213
Zr 6.714 -4.068 0.407
Zr 9.908 -6.004 0.601
Zr 13.105 -7.941 0.795
Zn 1.033 -2.411 1.738
Zn 4.244 -4.357 1.932
Zn 7.448 -6.298 2.127
Zn 10.651 -8.239 2.321
Zn 13.862 -10.185 2.515
```

Properties
The value obtained for the density of states at the Fermi level is 10.31 states/eV per cell. The space-group type is P4/mmm. The calculation puts the calculated formation energy at -237 kJ/mol of formula units. As for the total energy: -4.8957 eV per atom. Its size of the total moment is 0.029 μB per atom.

Density functional theory data (GGA-PBE) for a relaxed structure of CeZr5Zn4.

Geometry as extended XYZ:
```
10
Lattice="-2.604 2.005 0.185 -0.968 -1.512 2.759 9.968 12.012 10.085" Properties=species:S:1:pos:R:3 pbc="T T T"
Ce 0.000 0.000 0.000
Zr -0.493 1.804 2.780
Zr 1.357 4.034 4.652
Zr 3.198 6.252 6.514
Zr 5.038 8.470 8.376
Zr 6.889 10.700 10.249
Zn 2.214 2.667 2.240
Zn 4.064 4.898 4.112
Zn 5.904 7.114 5.973
Zn 7.754 9.344 7.845
```

Properties
The value obtained for the density of states at the Fermi level is 9.28 states/eV per cell. The space-group type is P4/mmm. The calculation puts the calculated formation energy at -179 kJ/mol of formula units. As for the total energy: -5.5629 eV per atom. Its size of the total moment is 0.069 μB per atom.

Density functional theory data (GGA-PBE) for a relaxed structure of CeZr2Zn.

Geometry as extended XYZ:
```
4
Lattice="4.938 0.000 0.000 2.469 4.277 0.000 2.469 1.426 4.032" Properties=species:S:1:pos:R:3 pbc="T T T"
Zn 4.938 2.851 2.016
Zr 2.469 1.426 1.008
Zr 7.407 4.277 3.024
Ce 0.000 0.000 0.000
```

Properties
The energy above the most stable polymorph in this dataset comes out at 173 meV per atom. The value obtained for the density of states at the Fermi level is 7.27 states/eV per cell. The space-group type is Fm-3m. The calculation puts the calculated formation energy at 42 kJ/mol of formula units. As for the total energy: -5.9680 eV per atom. Its size of the total moment is 0.163 μB per atom.

Density functional theory data (GGA-PBE) for a relaxed structure of CeZrZn.

Geometry as extended XYZ:
```
3
Lattice="3.109 0.000 0.000 0.000 3.109 0.000 -1.555 -1.555 6.839" Properties=species:S:1:pos:R:3 pbc="T T T"
Zn 1.555 1.555 2.396
Zr 0.000 0.000 4.341
Ce 0.000 0.000 0.102
```

Properties
The energy above the most stable polymorph in this dataset comes out at 19 meV per atom. The value obtained for the density of states at the Fermi level is 5.04 states/eV per cell. The space-group type is I4mm. The calculation puts the calculated formation energy at -29 kJ/mol of formula units. As for the total energy: -5.3505 eV per atom. Its size of the total moment is 0.076 μB per atom.

Density functional theory data (GGA-PBE) for a relaxed structure of CeZr5Zn6.

Geometry as extended XYZ:
```
12
Lattice="4.575 0.004 -1.408 -0.744 6.297 -2.399 0.040 -0.494 8.267" Properties=species:S:1:pos:R:3 pbc="T T T"
Zn 0.482 2.569 1.574
Zn 0.128 5.566 0.432
Zn 2.084 1.727 -1.361
Zn 1.747 4.574 -2.446
Zn 3.743 0.240 4.028
Zn 3.389 3.237 2.886
Zr 0.953 4.948 3.112
Zr 2.578 4.050 0.252
Zr -0.372 3.148 -1.200
Zr 1.293 1.756 4.208
Zr 2.918 0.858 1.348
Ce 0.000 0.000 0.000
```

Properties
The value obtained for the density of states at the Fermi level is 9.84 states/eV per cell. The space-group type is Immm. The calculation puts the calculated formation energy at -252 kJ/mol of formula units. As for the total energy: -4.9108 eV per atom. Its size of the total moment is 0.042 μB per atom.

Density functional theory data (GGA-PBE) for a relaxed structure of CeZr2Zn.

Geometry as extended XYZ:
```
4
Lattice="4.228 0.000 0.000 0.000 4.548 0.000 0.000 0.000 4.548" Properties=species:S:1:pos:R:3 pbc="T T T"
Zn 2.114 2.274 2.274
Zr 0.000 0.000 2.274
Zr 0.000 2.274 0.000
Ce 2.114 0.000 0.000
```

Properties
The energy above the most stable polymorph in this dataset comes out at 26 meV per atom. The value obtained for the density of states at the Fermi level is 3.88 states/eV per cell. The space-group type is P4/mmm. The calculation puts the calculated formation energy at -15 kJ/mol of formula units. As for the total energy: -6.1151 eV per atom. Its size of the total moment is 0.000 μB per atom.

Density functional theory data (GGA-PBE) for a relaxed structure of Ce2ZrZn9.

Geometry as extended XYZ:
```
12
Lattice="5.336 0.000 0.000 2.668 4.621 0.000 2.668 1.540 8.682" Properties=species:S:1:pos:R:3 pbc="T T T"
Ce 8.004 4.621 3.772
Ce 2.668 1.540 4.911
Zr 0.000 0.000 0.000
Zn 5.336 3.081 0.044
Zn 5.336 3.081 8.638
Zn 5.336 3.081 4.341
Zn 3.985 2.301 2.071
Zn 6.687 2.301 2.071
Zn 5.336 4.640 2.071
Zn 6.687 3.861 6.612
Zn 5.336 1.521 6.612
Zn 3.985 3.861 6.612
```

Properties
The value obtained for the density of states at the Fermi level is 14.77 states/eV per cell. The space-group type is R-3m. The calculation puts the calculated formation energy at -210 kJ/mol of formula units. As for the total energy: -2.8379 eV per atom. Its size of the total moment is 0.138 μB per atom.

Density functional theory data (GGA-PBE) for a relaxed structure of CeZrZn.

Geometry as extended XYZ:
```
3
Lattice="2.938 0.000 0.000 0.000 4.981 0.000 0.000 -2.490 4.313" Properties=species:S:1:pos:R:3 pbc="T T T"
Zn 1.963 2.490 1.438
Zr 0.480 0.000 2.876
Ce 0.495 0.000 0.000
```

Properties
The energy above the most stable polymorph in this dataset comes out at 237 meV per atom. The value obtained for the density of states at the Fermi level is 5.59 states/eV per cell. The space-group type is P3m1. The calculation puts the calculated formation energy at 35 kJ/mol of formula units. As for the total energy: -5.1322 eV per atom. Its size of the total moment is 0.084 μB per atom.

Density functional theory data (GGA-PBE) for a relaxed structure of CeZrZn6.

Geometry as extended XYZ:
```
8
Lattice="-4.092 -1.535 0.532 1.902 -5.619 -1.583 0.139 1.677 5.905" Properties=species:S:1:pos:R:3 pbc="T T T"
Ce -1.181 -2.096 3.086
Zr 0.293 1.037 5.249
Zn 0.141 0.405 2.252
Zn 1.286 -1.807 4.677
Zn 1.193 -2.687 1.426
Zn -1.195 -3.070 0.171
Zn -0.260 -4.876 2.150
Zn -0.300 -5.743 -0.657
```

Properties
The value obtained for the density of states at the Fermi level is 8.44 states/eV per cell. The space-group type is Amm2. The calculation puts the calculated formation energy at -162 kJ/mol of formula units. As for the total energy: -2.9754 eV per atom. Its size of the total moment is 0.070 μB per atom.

Density functional theory data (GGA-PBE) for a relaxed structure of CeZrZn.

Geometry as extended XYZ:
```
6
Lattice="3.095 0.000 0.000 0.000 3.095 0.000 0.000 0.000 13.706" Properties=species:S:1:pos:R:3 pbc="T T T"
Ce 0.000 1.548 8.267
Ce 1.548 0.000 5.439
Zn 0.000 1.548 3.179
Zn 1.548 0.000 10.528
Zr 1.548 0.000 1.165
Zr 0.000 1.548 12.541
```

Properties
The energy above the most stable polymorph in this dataset comes out at 0 meV per atom. The value obtained for the density of states at the Fermi level is 10.84 states/eV per cell. The space-group type is P4/nmm. The calculation puts the calculated formation energy at -34 kJ/mol of formula units. As for the total energy: -5.3691 eV per atom. Its size of the total moment is 0.016 μB per atom.

Density functional theory data (GGA-PBE) for a relaxed structure of CeZr3Zn8.

Geometry as extended XYZ:
```
12
Lattice="5.377 0.000 0.000 -2.688 4.656 0.000 0.000 0.000 8.401" Properties=species:S:1:pos:R:3 pbc="T T T"
Ce 0.000 0.000 4.860
Zr 2.688 1.552 3.593
Zr 2.688 1.552 0.560
Zr 0.000 0.000 7.772
Zn 0.000 3.104 4.192
Zn 0.000 3.104 8.401
Zn 2.688 0.059 6.368
Zn 1.395 2.299 6.368
Zn 3.982 2.299 6.368
Zn 0.000 1.496 2.042
Zn -1.393 3.908 2.042
Zn 1.393 3.908 2.042
```

Properties
The value obtained for the density of states at the Fermi level is 10.21 states/eV per cell. The space-group type is P3m1. The calculation puts the calculated formation energy at -287 kJ/mol of formula units. As for the total energy: -3.7287 eV per atom. Its size of the total moment is 0.131 μB per atom.

Density functional theory data (GGA-PBE) for a relaxed structure of CeZr2Zn.

Geometry as extended XYZ:
```
4
Lattice="5.015 0.000 0.000 2.508 4.343 0.000 2.508 1.448 4.095" Properties=species:S:1:pos:R:3 pbc="T T T"
Ce 5.015 2.896 2.048
Zr 2.508 1.448 4.094
Zr 2.508 1.448 1.023
Zn 7.523 4.343 3.073
```

Properties
The energy above the most stable polymorph in this dataset comes out at 61 meV per atom. The value obtained for the density of states at the Fermi level is 1.33 states/eV per cell. The space-group type is F-43m. The calculation puts the calculated formation energy at -2 kJ/mol of formula units. As for the total energy: -6.0805 eV per atom. Its size of the total moment is 0.000 μB per atom.

Density functional theory data (GGA-PBE) for a relaxed structure of CeZr5.

Geometry as extended XYZ:
```
6
Lattice="3.782 0.000 0.659 1.701 5.107 1.420 0.615 0.850 7.654" Properties=species:S:1:pos:R:3 pbc="T T T"
Ce 2.553 3.309 7.714
Zr 5.414 5.125 2.478
Zr 3.096 5.438 4.598
Zr 2.860 0.643 5.957
Zr 3.395 2.795 2.880
Zr 4.878 2.973 5.555
```

Properties
The value obtained for the density of states at the Fermi level is 10.59 states/eV per cell. The space-group type is C2/m. The calculation puts the calculated formation energy at 55 kJ/mol of formula units. As for the total energy: -8.0173 eV per atom. Its size of the total moment is 0.000 μB per atom.